HoEr3Ru3: relaxed, PBE.

a = 6.7702 Å, b = 6.7702 Å, c = 6.6906 Å
α = 90.05°, β = 90.05°, γ = 90.22°
Sites, in units of the cell vectors:
Ho (0.2477, 0.2477, 0.0006)
Ho (0.7523, 0.7523, 0.9994)
Er (0.2436, 0.7564, 0.0000)
Er (0.2453, 0.2453, 0.5006)
Er (0.2455, 0.7545, 0.5000)
Er (0.7545, 0.2455, 0.5000)
Er (0.7547, 0.7547, 0.4994)
Er (0.7564, 0.2436, 0.0000)
Ru (0.0000, 0.0000, 0.2504)
Ru (0.0000, 0.0000, 0.7496)
Ru (0.0000, 0.5000, 0.2505)
Ru (0.0000, 0.5000, 0.7495)
Ru (0.5000, 0.0000, 0.2505)
Ru (0.5000, 0.0000, 0.7495)

Properties
DOS(E_F)	7.56	states/eV per cell
volume	306.7	Å³ per cell
space group	C2/m (12)
crystal system	monoclinic
polymorph energy (0 for the lowest one)	23	meV per atom

---

HoEr4Ru2: relaxed, PBE.

a = 7.7065 Å, b = 6.2645 Å, c = 7.8542 Å
α = 90.00°, β = 112.54°, γ = 90.00°
Sites, in units of the cell vectors:
Ho (0.0251, 0.2500, 0.1639)
Ho (0.9749, 0.7500, 0.8361)
Er (0.2420, 0.5011, 0.5848)
Er (0.2420, 0.9989, 0.5848)
Er (0.3258, 0.7500, 0.2487)
Er (0.3792, 0.2500, 0.0203)
Er (0.6208, 0.7500, 0.9797)
Er (0.6742, 0.2500, 0.7513)
Er (0.7580, 0.0011, 0.4152)
Er (0.7580, 0.4989, 0.4152)
Ru (0.0230, 0.2500, 0.7427)
Ru (0.4143, 0.2500, 0.3755)
Ru (0.5857, 0.7500, 0.6245)
Ru (0.9770, 0.7500, 0.2573)

Properties
DOS(E_F)	12.51	states/eV per cell
volume	350.2	Å³ per cell
space group	P2_1/m (11)
crystal system	monoclinic

---

The E_form results, record by record, are as follows: -2.7; -2.0 eV/f.u..